--- P ---
Computed, not measured: an optimized crystal structure of NdAl2S4 at the GGA-PBE level of DFT.

* theoretical density: 3.40 Mg/m³
* crystal system: monoclinic
* total magnetic moment: 0.000 μB per formula unit
* DOS at the Fermi energy: 6.3 states/eV per cell

Cell and atoms, written as CIF:
```
data_NdAl2S4
_space_group_name_H-M_alt 'C 1 c 1'
_space_group_IT_number 9
_space_group_name_Hall 'C -2yc'
_cell_length_a 7.269
_cell_length_b 12.453
_cell_length_c 7.862
_cell_angle_alpha 90.00
_cell_angle_beta 116.24
_cell_angle_gamma 90.00
loop_
_atom_site_label
_atom_site_type_symbol
_atom_site_fract_x
_atom_site_fract_y
_atom_site_fract_z
Nd1 Nd 0.000 0.125 0.000
Al1 Al 0.237 0.288 0.829
Al2 Al 0.417 0.038 0.673
S1 S 0.233 0.465 0.753
S2 S 0.241 0.006 0.350
S3 S 0.391 0.255 0.153
S4 S 0.476 0.215 0.745
```

--- Q ---
Computed, not measured: an optimized crystal structure of NdAl2S4 at the GGA-PBE level of DFT.

* theoretical density: 3.48 Mg/m³
* crystal system: orthorhombic
* total magnetic moment: 0.846 μB per formula unit
* DOS at the Fermi energy: 10.3 states/eV per cell

Cell and atoms, written as CIF:
```
data_NdAl2S4
_space_group_name_H-M_alt 'C c c m'
_space_group_IT_number 66
_space_group_name_Hall '-C 2 2c'
_cell_length_a 6.041
_cell_length_b 10.128
_cell_length_c 10.196
_cell_angle_alpha 90.00
_cell_angle_beta 90.00
_cell_angle_gamma 90.00
loop_
_atom_site_label
_atom_site_type_symbol
_atom_site_fract_x
_atom_site_fract_y
_atom_site_fract_z
Nd1 Nd 0.000 0.000 0.250
Al1 Al 0.002 0.266 0.000
S1 S 0.227 0.082 0.500
S2 S 0.250 0.250 0.169
```

List of relative energies, unit meV/atom: P 7; Q 0

--- P ---
Computed, not measured: an optimized crystal structure of NdSc2Al at the GGA-PBE level of DFT.

* theoretical density: 4.44 Mg/m³
* crystal system: tetragonal
* total magnetic moment: 0.007 μB per formula unit
* DOS at the Fermi energy: 5.9 states/eV per cell

Cell and atoms, written as CIF:
```
data_NdSc2Al
_space_group_name_H-M_alt 'P 4/m m m'
_space_group_IT_number 123
_space_group_name_Hall '-P 4 2'
_cell_length_a 4.606
_cell_length_b 4.606
_cell_length_c 4.602
_cell_angle_alpha 90.00
_cell_angle_beta 90.00
_cell_angle_gamma 90.00
loop_
_atom_site_label
_atom_site_type_symbol
_atom_site_fract_x
_atom_site_fract_y
_atom_site_fract_z
Nd1 Nd 0.000 0.000 0.000
Sc1 Sc 0.000 0.500 0.500
Al1 Al 0.500 0.500 0.000
```

--- Q ---
Computed, not measured: an optimized crystal structure of NdSc2Al at the GGA-PBE level of DFT.

* theoretical density: 4.50 Mg/m³
* crystal system: cubic
* total magnetic moment: 2.095 μB per formula unit
* DOS at the Fermi energy: 25.6 states/eV per cell

Cell and atoms, written as CIF:
```
data_NdSc2Al
_space_group_name_H-M_alt 'F m -3 m'
_space_group_IT_number 225
_space_group_name_Hall '-F 4 2 3'
_cell_length_a 7.276
_cell_length_b 7.276
_cell_length_c 7.276
_cell_angle_alpha 90.00
_cell_angle_beta 90.00
_cell_angle_gamma 90.00
loop_
_atom_site_label
_atom_site_type_symbol
_atom_site_fract_x
_atom_site_fract_y
_atom_site_fract_z
Nd1 Nd 0.000 0.000 0.000
Sc1 Sc 0.250 0.250 0.250
Al1 Al 0.000 0.000 0.500
```

--- R ---
Computed, not measured: an optimized crystal structure of NdSc2Al at the GGA-PBE level of DFT.

* theoretical density: 4.44 Mg/m³
* crystal system: tetragonal
* total magnetic moment: 0.000 μB per formula unit
* DOS at the Fermi energy: 3.4 states/eV per cell

Cell and atoms, written as CIF:
```
data_NdSc2Al
_space_group_name_H-M_alt 'P 4/m m m'
_space_group_IT_number 123
_space_group_name_Hall '-P 4 2'
_cell_length_a 3.365
_cell_length_b 3.365
_cell_length_c 8.622
_cell_angle_alpha 90.00
_cell_angle_beta 90.00
_cell_angle_gamma 90.00
loop_
_atom_site_label
_atom_site_type_symbol
_atom_site_fract_x
_atom_site_fract_y
_atom_site_fract_z
Nd1 Nd 0.000 0.000 0.000
Sc1 Sc 0.500 0.500 0.295
Al1 Al 0.000 0.000 0.500
```

--- S ---
Computed, not measured: an optimized crystal structure of NdSc2Al at the GGA-PBE level of DFT.

* theoretical density: 4.30 Mg/m³
* crystal system: trigonal
* total magnetic moment: 0.001 μB per formula unit
* DOS at the Fermi energy: 18.5 states/eV per cell

Cell and atoms, written as CIF:
```
data_NdSc2Al
_space_group_name_H-M_alt 'R 3 m'
_space_group_IT_number 160
_space_group_name_Hall 'R 3 -2"'
_cell_length_a 3.3773
_cell_length_b 3.3773
_cell_length_c 30.6070
_cell_angle_alpha 90.00
_cell_angle_beta 90.00
_cell_angle_gamma 120.00
loop_
_atom_site_label
_atom_site_type_symbol
_atom_site_fract_x
_atom_site_fract_y
_atom_site_fract_z
Nd1 Nd 0.0000 0.0000 0.0000
Sc1 Sc 0.0000 0.0000 0.5702
Sc2 Sc 0.0000 0.0000 0.7608
Al1 Al 0.0000 0.0000 0.1652
```

List of relative energies, unit meV/atom: P 29; Q 169; R 0; S 156

--- P ---
Computed, not measured: an optimized crystal structure of Nd3ScAl8 at the GGA-PBE level of DFT.

* theoretical density: 4.59 Mg/m³
* crystal system: trigonal
* total magnetic moment: 0.000 μB per formula unit
* DOS at the Fermi energy: 6.5 states/eV per cell

Cell and atoms, written as CIF:
```
data_Nd3ScAl8
_space_group_name_H-M_alt 'P 3 m 1'
_space_group_IT_number 156
_space_group_name_Hall 'P 3 -2"'
_cell_length_a 5.6026
_cell_length_b 5.6026
_cell_length_c 9.2225
_cell_angle_alpha 90.00
_cell_angle_beta 90.00
_cell_angle_gamma 120.00
loop_
_atom_site_label
_atom_site_type_symbol
_atom_site_fract_x
_atom_site_fract_y
_atom_site_fract_z
Nd1 Nd 0.0000 0.0000 0.0000
Nd2 Nd 0.0000 0.0000 0.3654
Nd3 Nd 0.3333 0.6667 0.8602
Sc1 Sc 0.3333 0.6667 0.4989
Al1 Al 0.0095 0.5048 0.1850
Al2 Al 0.3253 0.1627 0.6743
Al3 Al 0.6667 0.3333 0.4319
Al4 Al 0.6667 0.3333 0.9265
```

--- Q ---
Computed, not measured: an optimized crystal structure of Nd3ScAl8 at the GGA-PBE level of DFT.

* theoretical density: 4.60 Mg/m³
* crystal system: trigonal
* total magnetic moment: 0.000 μB per formula unit
* DOS at the Fermi energy: 30.8 states/eV per cell

Cell and atoms, written as CIF:
```
data_Nd3ScAl8
_space_group_name_H-M_alt 'R 3 m'
_space_group_IT_number 160
_space_group_name_Hall 'R 3 -2"'
_cell_length_a 5.6023
_cell_length_b 5.6023
_cell_length_c 27.6297
_cell_angle_alpha 90.00
_cell_angle_beta 90.00
_cell_angle_gamma 120.00
loop_
_atom_site_label
_atom_site_type_symbol
_atom_site_fract_x
_atom_site_fract_y
_atom_site_fract_z
Nd1 Nd 0.0000 0.0000 0.0000
Nd2 Nd 0.0000 0.0000 0.1258
Nd3 Nd 0.0000 0.0000 0.6240
Sc1 Sc 0.0000 0.0000 0.5010
Al1 Al 0.0000 0.0000 0.3121
Al2 Al 0.0000 0.0000 0.8132
Al3 Al 0.0013 0.5007 0.0643
Al4 Al 0.1670 0.3340 0.8944
```

List of relative energies, unit meV/atom: P 9; Q 0